This record from Alexandria via LeMat-Bulk describes an optimized crystal structure of Pa6P2OsSe3. The functional is PBE.

- Total magnetic moment: 0.00 μB/cell
- Formation energy from raw total energies: -1121 meV/atom
- Calculated density: 11.13 g cm⁻³
- DOS(E_F): 17.32 states/eV/f.u.
- DFT total energy: -205.9 eV/cell

Cell lengths 17.734, 3.920, 8.307 Å; angles 90.00, 104.25, 90.00 degrees
Space group C2/m (No. 12)
One atom of each set of equivalent atoms:
Pa  0.004  0.000  0.234
Pa  0.162  0.500  0.095
Pa  0.171  0.500  0.575
P  0.167  0.000  0.336
Os  0.000  0.500  0.000
Se  0.000  0.500  0.500
Se  0.168  0.000  0.835

=====

This record from Alexandria via LeMat-Bulk describes an optimized crystal structure of Nb3Si2Ni. The functional is PBE.

- Total magnetic moment: 0.00 μB/cell
- Formation energy from raw total energies: -547 meV/atom
- Calculated density: 7.01 g cm⁻³
- DOS(E_F): 3.98 states/eV/f.u.
- DFT total energy: -200.5 eV/cell

Cell lengths 10.406, 3.673, 9.753 Å; angles 90.00, 90.00, 90.00 degrees
Space group Pnma (No. 62)
One atom of each set of equivalent atoms:
Nb  0.043  0.250  0.116
Nb  0.127  0.750  0.579
Nb  0.209  0.250  0.793
Si  0.027  0.750  0.311
Si  0.192  0.750  0.009
Ni  0.127  0.250  0.383

=====

This record from Alexandria via LeMat-Bulk describes an optimized crystal structure of Ta2FeMo. The functional is PBE.

- ΔH_f (0 K): 0.400 eV per formula unit
- Total magnetic moment: 0.00 μB/cell
- Polymorph energy (0 for the lowest one): 276.0 meV/atom
- Calculated density: 13.45 g cm⁻³
- DOS(E_F): 3.80 states/eV/f.u.
- DFT total energy: -42.6 eV/cell

Cell lengths 2.817, 2.817, 7.992 Å; angles 90.00, 90.00, 90.00 degrees
Space group P4mm (No. 99)
One atom of each set of equivalent atoms:
Ta  0.000  0.000  0.000
Ta  0.500  0.500  0.293
Fe  0.000  0.000  0.522
Mo  0.500  0.500  0.715

=====

This record from Alexandria via LeMat-Bulk describes an optimized crystal structure of LiAlGeO4. The functional is PBE.

- Total magnetic moment: 0.00 μB/cell
- Polymorph energy (0 for the lowest one): 0.0 meV/atom
- Formation energy from raw total energies: -2316 meV/atom
- Calculated density: 3.25 g cm⁻³
- DOS(E_F): 0.00 states/eV/f.u.
- DFT total energy: -833.7 eV/cell

Cell lengths 13.9646, 13.9646, 9.3021 Å; angles 90.00, 90.00, 120.00 degrees
Space group R3 (No. 146, hexagonal axes)
One atom of each set of equivalent atoms:
Li  0.0195  0.8101  0.0000
Li  0.1436  0.4577  0.1647
Al  0.0129  0.8039  0.6667
Al  0.1381  0.4527  0.8339
Ge  0.0185  0.8043  0.3321
Ge  0.1364  0.4568  0.4993
O  0.0018  0.3402  0.5006
O  0.0076  0.6725  0.3312
O  0.0724  0.8701  0.5001
O  0.0919  0.8796  0.8164
O  0.0978  0.8835  0.1839
O  0.2029  0.0727  0.9978
O  0.2121  0.4539  0.3497
O  0.2149  0.0986  0.3154

=====

This record from Alexandria via LeMat-Bulk describes an optimized crystal structure of TmLuOsRu. The functional is PBE.

- ΔH_f (0 K): -1.196 eV per formula unit
- Total magnetic moment: 0.00 μB/cell
- Calculated density: 14.05 g cm⁻³
- DOS(E_F): 5.57 states/eV/f.u.
- DFT total energy: -122.8 eV/cell

Cell lengths 6.696, 6.696, 6.696 Å; angles 90.00, 90.00, 90.00 degrees
Space group F-43m (No. 216)
One atom of each set of equivalent atoms:
Tm  0.000  0.000  0.000
Lu  0.000  0.000  0.500
Os  0.250  0.250  0.750
Ru  0.250  0.250  0.250

=====

This record from Alexandria via LeMat-Bulk describes an optimized crystal structure of Tl2CrFe. The functional is PBE.

- ΔH_f (0 K): 2.842 eV per formula unit
- Total magnetic moment: 11.96 μB/cell
- Polymorph energy (0 for the lowest one): 223.3 meV/atom
- Calculated density: 11.33 g cm⁻³
- DOS(E_F): 3.23 states/eV/f.u.
- DFT total energy: -40.0 eV/cell

Cell lengths 6.139, 7.963, 3.097 Å; angles 90.00, 90.00, 90.00 degrees
Space group Cmmm (No. 65)
One atom of each set of equivalent atoms:
Tl  0.250  0.250  0.000
Cr  0.000  0.000  0.500
Fe  0.000  0.500  0.500